Compound: LiSn2Ir2
Source: the Alexandria database
Functional: GGA-PBE
Structure: optimized geometry

Cell lengths 6.1843, 6.1843, 6.1843 Å; angles 137.22, 137.22, 62.10 degrees
Closest atoms and distances in Å follow each position.
Fractional positions:
1 Li 0.0000 0.0000 0.0000  8 Ir 3.42, 8 Sn 3.48
2 Sn 0.2500 0.7500 0.5000  4 Ir 2.67
3 Sn 0.7500 0.2500 0.5000  4 Ir 2.67
4 Ir 0.3847 0.3847 0.0000  1 Ir 2.44, 4 Sn 2.67
5 Ir 0.6153 0.6153 0.0000  1 Ir 2.44, 4 Sn 2.67

Results
Density of states at the Fermi level   2.3 states/eV/f.u.
Electronic total energy   -5.5983 eV per atom
Distance to the lowest polymorph of the same formula   0.182 eV/atom

***

Compound: Sm2Ga7Ag
Source: the Alexandria database
Functional: GGA-PBE
Structure: optimized geometry

Cell lengths 4.2613, 4.2613, 10.9952 Å; angles 90.00, 90.00, 90.00 degrees
Closest atoms and distances in Å follow each position.
Fractional positions:
1 Sm 0.0000 0.5000 0.2500  14 Ga 3.25-3.48, 2 Ag 3.48
2 Sm 0.5000 0.0000 0.7500  14 Ga 3.25-3.48, 2 Ag 3.48
3 Ga 0.0000 0.0000 0.0000  4 Ga 2.62
4 Ga 0.0000 0.0000 0.5000  4 Ga 2.62
5 Ga 0.0000 0.5000 0.6384  5 Ga 2.45-2.62
6 Ga 0.0000 0.5000 0.8610  3 Ga 2.45-2.62, 2 Ag 2.62
7 Ga 0.5000 0.0000 0.1390  3 Ga 2.45-2.62, 2 Ag 2.62
8 Ga 0.5000 0.0000 0.3616  5 Ga 2.45-2.62
9 Ga 0.5000 0.5000 0.5000  4 Ga 2.62
10 Ag 0.5000 0.5000 0.0000  4 Ga 2.62

Results
Density of states at the Fermi level   2.6 states/eV/f.u.
Electronic total energy   -3.7724 eV per atom

***

Compound: Ti5Al4In
Source: the Alexandria database
Functional: GGA-PBE
Structure: optimized geometry

Cell lengths 2.8657, 2.8657, 20.4237 Å; angles 90.00, 90.00, 90.00 degrees
Closest atoms and distances in Å follow each position.
Fractional positions:
1 Ti 0.0000 0.0000 0.0000  8 Al 2.85, 4 Ti 2.87
2 Ti 0.0000 0.0000 0.1959  8 Al 2.83-2.85, 4 Ti 2.87
3 Ti 0.0000 0.0000 0.3880  4 Al 2.81, 4 Ti 2.87, 4 In 3.06
4 Ti 0.0000 0.0000 0.6120  4 Al 2.81, 4 Ti 2.87, 4 In 3.06
5 Ti 0.0000 0.0000 0.8041  8 Al 2.83-2.85, 4 Ti 2.87
6 Al 0.5000 0.5000 0.0979  8 Ti 2.85, 4 Al 2.87
7 Al 0.5000 0.5000 0.2929  8 Ti 2.81-2.83, 4 Al 2.87
8 Al 0.5000 0.5000 0.7071  8 Ti 2.81-2.83, 4 Al 2.87
9 Al 0.5000 0.5000 0.9021  8 Ti 2.85, 4 Al 2.87
10 In 0.5000 0.5000 0.5000  4 In 2.87, 8 Ti 3.06

Results
Density of states at the Fermi level   10.8 states/eV/f.u.
Electronic total energy   -6.0678 eV per atom
Distance to the lowest polymorph of the same formula   0.000 eV/atom

***

Compound: As2Se3N2
Source: the Alexandria database
Functional: GGA-PBE
Structure: optimized geometry

Cell lengths 3.7118, 4.5789, 9.6203 Å; angles 93.30, 90.12, 113.87 degrees
Closest atoms and distances in Å follow each position.
Fractional positions:
1 As 0.1577 0.3179 0.1686  1 N 1.83
2 As 0.8423 0.6821 0.8314  1 N 1.83
3 Se 0.1742 0.3451 0.6677  1 N 1.75
4 Se 0.5000 0.0000 0.0000  4 As 2.75-2.76
5 Se 0.8258 0.6549 0.3323  1 N 1.75
6 N 0.0329 0.0706 0.3191  1 Se 1.75, 1 As 1.83
7 N 0.9671 0.9294 0.6809  1 Se 1.75, 1 As 1.83

Results
Density of states at the Fermi level   2.9 states/eV/f.u.
Electronic total energy   -4.7015 eV per atom
Uncorrected formation energy   48.15 kJ per mole of atoms

***

Compound: GdYIr2
Source: the Alexandria database
Functional: GGA-PBE
Structure: optimized geometry

Cell lengths 4.8775, 4.8775, 4.8775 Å; angles 60.00, 60.00, 60.00 degrees
Closest atoms and distances in Å follow each position.
Fractional positions:
1 Gd 0.0000 0.0000 0.0000  8 Ir 2.99
2 Y 0.5000 0.5000 0.5000  8 Ir 2.99
3 Ir 0.2500 0.2500 0.2500  4 Gd 2.99, 4 Y 2.99
4 Ir 0.7500 0.7500 0.7500  4 Gd 2.99, 4 Y 2.99

Results
Density of states at the Fermi level   2.1 states/eV/f.u.
Electronic total energy   -10.3201 eV per atom
Distance to the lowest polymorph of the same formula   0.004 eV/atom

***

Compound: AcMgNi4
Source: the Alexandria database
Functional: GGA-PBE
Structure: optimized geometry

Cell lengths 5.1263, 5.1263, 5.1263 Å; angles 60.00, 60.00, 60.00 degrees
Closest atoms and distances in Å follow each position.
Fractional positions:
1 Ac 0.0000 0.0000 0.0000  12 Ni 3.01, 4 Mg 3.14
2 Mg 0.2500 0.2500 0.2500  12 Ni 3.00, 4 Ac 3.14
3 Ni 0.1311 0.6230 0.6230  6 Ni 2.52-2.60
4 Ni 0.6230 0.1311 0.6230  6 Ni 2.52-2.60
5 Ni 0.6230 0.6230 0.1311  6 Ni 2.52-2.60
6 Ni 0.6230 0.6230 0.6230  6 Ni 2.52-2.60

Results
Density of states at the Fermi level   8.1 states/eV/f.u.
Electronic total energy   -5.0045 eV per atom

***

Compound: BePt2W
Source: the Alexandria database
Functional: GGA-PBE
Structure: optimized geometry

Cell lengths 4.7638, 4.7638, 4.7638 Å; angles 132.87, 132.87, 68.86 degrees
Closest atoms and distances in Å follow each position.
Fractional positions:
1 Be 0.0000 0.0000 0.0000  4 W 2.69, 8 Pt 2.74
2 Pt 0.2500 0.7500 0.5000  4 Pt 2.69, 4 W 2.74, 4 Be 2.74
3 Pt 0.7500 0.2500 0.5000  4 Pt 2.69, 4 W 2.74, 4 Be 2.74
4 W 0.5000 0.5000 0.0000  4 Be 2.69, 8 Pt 2.74

Results
Density of states at the Fermi level   3.1 states/eV/f.u.
Electronic total energy   -7.3230 eV per atom

***

Compound: Pu2U5Ge3
Source: the Alexandria database
Functional: GGA-PBE
Structure: optimized geometry

Cell lengths 8.5156, 8.5156, 8.5156 Å; angles 123.81, 90.81, 115.43 degrees
Closest atoms and distances in Å follow each position.
Fractional positions:
1 Pu 0.1392 0.0100 0.1492  3 U 2.41-2.55
2 Pu 0.3608 0.5100 0.8707  3 U 2.41-2.55
3 Pu 0.6392 0.4900 0.1293  3 U 2.41-2.55
4 Pu 0.8608 0.9900 0.8508  3 U 2.41-2.55
5 U 0.0137 0.2500 0.7637  2 Pu 2.55, 1 Ge 2.83
6 U 0.1181 0.7107 0.8289  1 Pu 2.41
7 U 0.2500 0.7500 0.5000  4 Ge 3.03, 6 U 3.15-3.17
8 U 0.3819 0.2107 0.5926  1 Pu 2.41
9 U 0.4863 0.2500 0.2363  2 Pu 2.55, 1 Ge 2.83
10 U 0.5137 0.7500 0.7637  2 Pu 2.55, 1 Ge 2.83
11 U 0.6181 0.7893 0.4074  1 Pu 2.41
12 U 0.7500 0.2500 0.5000  4 Ge 3.03, 6 U 3.15-3.17
13 U 0.8819 0.2893 0.1711  1 Pu 2.41
14 U 0.9863 0.7500 0.2363  2 Pu 2.55, 1 Ge 2.83
15 Ge 0.1363 0.3561 0.4924  2 Pu 2.78-2.95, 6 U 2.85-3.09
16 Ge 0.2500 0.2500 0.0000  4 Pu 2.82, 2 U 2.83
17 Ge 0.3637 0.8561 0.2198  2 Pu 2.78-2.95, 6 U 2.85-3.09
18 Ge 0.6363 0.1439 0.7802  2 Pu 2.78-2.95, 6 U 2.85-3.09
19 Ge 0.7500 0.7500 0.0000  4 Pu 2.82, 2 U 2.83
20 Ge 0.8637 0.6439 0.5076  2 Pu 2.78-2.95, 6 U 2.85-3.09

Results
Density of states at the Fermi level   22.2 states/eV/f.u.
Electronic total energy   -9.8079 eV per atom

***

Compound: Er2TmTh2
Source: the Alexandria database
Functional: GGA-PBE
Structure: optimized geometry

Cell lengths 14.4727, 7.0744, 6.1545 Å; angles 90.00, 98.24, 90.00 degrees
Closest atoms and distances in Å follow each position.
Fractional positions:
1 Er 0.0988 0.1248 0.4499  6 Th 3.48-3.57, 5 Er 3.49-3.59, 1 Tm 3.56
2 Er 0.0988 0.3752 0.9499  6 Th 3.48-3.57, 5 Er 3.49-3.59, 1 Tm 3.56
3 Er 0.3037 0.1222 0.8526  4 Th 3.47-3.58, 4 Tm 3.50-3.57, 4 Er 3.57-3.59
4 Er 0.3037 0.3778 0.3526  4 Th 3.47-3.58, 4 Tm 3.50-3.57, 4 Er 3.57-3.59
5 Er 0.6963 0.6222 0.6474  4 Th 3.47-3.58, 4 Tm 3.50-3.57, 4 Er 3.57-3.59
6 Er 0.6963 0.8778 0.1474  4 Th 3.47-3.58, 4 Tm 3.50-3.57, 4 Er 3.57-3.59
7 Er 0.9012 0.6248 0.0501  6 Th 3.48-3.57, 5 Er 3.49-3.59, 1 Tm 3.56
8 Er 0.9012 0.8752 0.5501  6 Th 3.48-3.57, 5 Er 3.49-3.59, 1 Tm 3.56
9 Tm 0.3019 0.6270 0.8505  5 Th 3.49-3.55, 5 Er 3.50-3.57, 2 Tm 3.54
10 Tm 0.3019 0.8730 0.3505  5 Th 3.49-3.55, 5 Er 3.50-3.57, 2 Tm 3.54
11 Tm 0.6981 0.1270 0.6495  5 Th 3.49-3.55, 5 Er 3.50-3.57, 2 Tm 3.54
12 Tm 0.6981 0.3730 0.1495  5 Th 3.49-3.55, 5 Er 3.50-3.57, 2 Tm 3.54
13 Th 0.0993 0.6292 0.4507  7 Er 3.48-3.58, 3 Th 3.52-3.53, 2 Tm 3.53-3.55
14 Th 0.0993 0.8708 0.9507  7 Er 3.48-3.58, 3 Th 3.52-3.53, 2 Tm 3.53-3.55
15 Th 0.5000 0.1244 0.2528  3 Er 3.47-3.49, 3 Tm 3.49-3.50, 6 Th 3.52-3.57
16 Th 0.5000 0.3756 0.7528  3 Er 3.47-3.49, 3 Tm 3.49-3.50, 6 Th 3.52-3.57
17 Th 0.5000 0.6244 0.2472  3 Er 3.47-3.49, 3 Tm 3.49-3.50, 6 Th 3.52-3.57
18 Th 0.5000 0.8756 0.7472  3 Er 3.47-3.49, 3 Tm 3.49-3.50, 6 Th 3.52-3.57
19 Th 0.9007 0.1292 0.0493  7 Er 3.48-3.58, 3 Th 3.52-3.53, 2 Tm 3.53-3.55
20 Th 0.9007 0.3708 0.5493  7 Er 3.48-3.58, 3 Th 3.52-3.53, 2 Tm 3.53-3.55

Results
Density of states at the Fermi level   6.5 states/eV/f.u.
Electronic total energy   -5.6598 eV per atom
Distance to the lowest polymorph of the same formula   0.000 eV/atom

***

Compound: Ce3AlNi2Ge6
Source: the Alexandria database
Functional: GGA-PBE
Structure: optimized geometry

Cell lengths 5.9651, 5.9651, 8.0316 Å; angles 90.00, 90.00, 120.00 degrees
Closest atoms and distances in Å follow each position.
Fractional positions:
1 Ce 0.0000 0.0000 0.0000  6 Ge 2.97
2 Ce 0.3333 0.6667 0.6314  9 Ge 3.07-3.19, 1 Ni 3.30
3 Ce 0.6667 0.3333 0.3686  9 Ge 3.07-3.19, 1 Ni 3.30
4 Al 0.0000 0.0000 0.5000  6 Ge 2.61
5 Ni 0.3333 0.6667 0.0422  3 Ge 2.44
6 Ni 0.6667 0.3333 0.9578  3 Ge 2.44
7 Ge 0.1872 0.3743 0.2809  1 Ni 2.44, 1 Al 2.61, 2 Ge 2.62
8 Ge 0.1872 0.8128 0.2809  1 Ni 2.44, 1 Al 2.61, 2 Ge 2.62
9 Ge 0.3743 0.1872 0.7191  1 Ni 2.44, 1 Al 2.61, 2 Ge 2.62
10 Ge 0.6257 0.8128 0.2809  1 Ni 2.44, 1 Al 2.61, 2 Ge 2.62
11 Ge 0.8128 0.1872 0.7191  1 Ni 2.44, 1 Al 2.61, 2 Ge 2.62
12 Ge 0.8128 0.6257 0.7191  1 Ni 2.44, 1 Al 2.61, 2 Ge 2.62

Results
Density of states at the Fermi level   16.2 states/eV/f.u.
Electronic total energy   -5.3256 eV per atom

***

Compound: CaHfTi2
Source: the Alexandria database
Functional: GGA-PBE
Structure: optimized geometry

Cell lengths 5.0246, 5.0246, 5.0246 Å; angles 60.00, 60.00, 60.00 degrees
Closest atoms and distances in Å follow each position.
Fractional positions:
1 Ca 0.0000 0.0000 0.0000  8 Ti 3.08
2 Hf 0.5000 0.5000 0.5000  8 Ti 3.08
3 Ti 0.2500 0.2500 0.2500  4 Hf 3.08, 4 Ca 3.08
4 Ti 0.7500 0.7500 0.7500  4 Hf 3.08, 4 Ca 3.08

Results
Density of states at the Fermi level   6.4 states/eV/f.u.
Electronic total energy   -6.4023 eV per atom
Distance to the lowest polymorph of the same formula   0.000 eV/atom

***

For each record above, in turn, the calculated total moment values are 0.000, 0.000, 0.000, 0.000, 6.741, 0.001, 0.001, 0.387, 0.000, 1.826, 3.383 μB/cell.